(1)
Computed, not measured: a relaxed SrSbW2 crystal at the PBE level of DFT.

- Total moment: 0.000 μB per atom
- Crystal system: cubic
- E_form (uncorrected): 0.901 eV per atom

Structure (extended XYZ):
```
4
Lattice="0.000 3.453 3.453 3.453 0.000 3.453 3.453 3.453 0.000" Properties=species:S:1:pos:R:3 pbc="T T T"
Sr 0.000 0.000 0.000
Sb 1.726 1.726 1.726
W 3.453 3.453 3.453
W 5.179 5.179 5.179
```


(2)
Computed, not measured: a relaxed AlTcSn3 crystal at the PBE level of DFT.

- Energy of formation: 408 meV/atom
- E above lowest polymorph: 0.000 eV per atom
- Total moment: 0.150 μB per atom
- Crystal system: cubic

Structure (extended XYZ):
```
5
Lattice="5.179 0.000 0.000 0.000 5.179 0.000 0.000 0.000 5.179" Properties=species:S:1:pos:R:3 pbc="T T T"
Al 0.000 0.000 0.000
Tc 2.589 2.589 2.589
Sn 0.000 2.589 2.589
Sn 2.589 0.000 2.589
Sn 2.589 2.589 0.000
```


(3)
Computed, not measured: a relaxed Cs2NpInS4 crystal at the PBE level of DFT.

- Total moment: 0.248 μB per atom
- Crystal system: orthorhombic
- E_form (uncorrected): -1.014 eV per atom

Structure (extended XYZ):
```
16
Lattice="-4.191 4.735 6.396 4.191 -4.735 6.396 4.191 4.735 -6.396" Properties=species:S:1:pos:R:3 pbc="T T T"
Cs 0.000 0.000 0.000
Cs -2.095 2.368 3.198
Cs 0.000 4.735 0.000
Cs 2.095 2.368 3.198
Np 2.095 2.368 -3.198
Np 2.095 -2.368 3.198
In 4.191 0.000 0.000
In 0.000 0.000 6.396
S 4.191 -0.605 3.099
S 4.191 4.130 -3.099
S 2.275 2.368 -0.657
S 6.106 2.368 -0.657
S -1.916 2.368 7.053
S 1.916 2.368 7.053
S 0.000 0.605 9.495
S 0.000 5.340 3.296
```


(4)
Computed, not measured: a relaxed CoAg2H crystal at the PBE level of DFT.

- E above lowest polymorph: 0.000 eV per atom
- Total moment: 0.478 μB per atom
- Crystal system: tetragonal

Structure (extended XYZ):
```
8
Lattice="-3.145 3.145 2.645 3.145 -3.145 2.645 3.145 3.145 -2.645" Properties=species:S:1:pos:R:3 pbc="T T T"
Co 0.000 0.000 0.000
Co 0.000 3.145 1.322
Ag 1.573 2.149 -0.661
Ag 4.141 1.573 0.661
Ag 1.573 0.996 1.983
Ag -0.996 1.573 3.306
H 3.145 0.000 1.322
H 0.000 0.000 2.645
```


(5)
Computed, not measured: a relaxed SmThHgPd crystal at the PBE level of DFT.

- Energy of formation: -459 meV/atom
- Total moment: 0.000 μB per atom
- Crystal system: cubic

Structure (extended XYZ):
```
4
Lattice="0.000 3.713 3.713 3.713 0.000 3.713 3.713 3.713 0.000" Properties=species:S:1:pos:R:3 pbc="T T T"
Sm 0.000 0.000 0.000
Th 3.713 3.713 3.713
Hg 5.570 5.570 5.570
Pd 1.857 1.857 1.857
```


(6)
Computed, not measured: a relaxed Mg10Tl3Cd3 crystal at the PBE level of DFT.

- Energy of formation: -38 meV/atom
- Total moment: 0.000 μB per atom
- Crystal system: hexagonal

Structure (extended XYZ):
```
16
Lattice="8.530 0.000 0.000 -4.265 7.387 0.000 0.000 0.000 5.992" Properties=species:S:1:pos:R:3 pbc="T T T"
Mg -0.983 1.703 0.000
Mg -3.290 5.699 2.996
Mg 0.975 1.688 2.996
Mg 1.967 0.000 0.000
Mg 0.000 4.925 1.520
Mg 0.000 4.925 4.472
Mg 4.265 2.462 1.520
Mg 4.265 2.462 4.472
Mg 3.282 5.684 0.000
Mg 6.581 0.000 2.996
Tl -2.557 4.429 0.000
Tl 1.708 2.958 0.000
Tl 5.115 0.000 0.000
Cd -1.687 2.922 2.996
Cd 3.374 0.000 2.996
Cd 2.578 4.466 2.996
```


(7)
Computed, not measured: a relaxed CaDy2YBi4 crystal at the PBE level of DFT.

- Energy of formation: -814 meV/atom
- Total moment: 0.000 μB per atom
- Crystal system: monoclinic

Structure (extended XYZ):
```
8
Lattice="7.837 0.000 0.000 0.000 4.478 0.000 -2.563 0.000 7.407" Properties=species:S:1:pos:R:3 pbc="T T T"
Ca 0.000 0.000 0.000
Dy 2.637 0.000 3.703
Dy 3.919 2.239 0.000
Y -1.282 2.239 3.703
Bi 0.063 0.000 5.541
Bi 1.352 2.239 1.893
Bi 3.922 2.239 5.513
Bi 5.211 0.000 1.865
```


(8)
Computed, not measured: a relaxed Zn2InTc crystal at the PBE level of DFT.

- Energy of formation: 269 meV/atom
- Total moment: 0.184 μB per atom
- Crystal system: trigonal

Structure (extended XYZ):
```
4
Lattice="1.487 0.859 8.983 -1.487 0.859 8.983 0.000 -1.718 8.983" Properties=species:S:1:pos:R:3 pbc="T T T"
Zn 0.000 0.000 6.556
Zn 0.000 0.000 20.394
In 0.000 0.000 0.000
Tc 0.000 0.000 13.475
```